A plane-wave DFT calculation with PBE-GGA was carried out for a relaxed Sr3Mg2SnO6 crystal.

a = 5.8625 Å, b = 5.8625 Å, c = 6.7719 Å
α = 90.00°, β = 90.00°, γ = 120.00°
Element x y z (fractional)
Sr1 0.0000 0.0000 0.0000
Sr2 0.3333 0.6667 0.6268
Sr3 0.6667 0.3333 0.3732
Mg1 0.3333 0.6667 0.1813
Mg2 0.6667 0.3333 0.8187
Sn1 0.0000 0.0000 0.5000
O1 0.1643 0.3286 0.3158
O2 0.1643 0.8357 0.3158
O3 0.3286 0.1643 0.6842
O4 0.6714 0.8357 0.3158
O5 0.8357 0.1643 0.6842
O6 0.8357 0.6714 0.6842

## Properties
The calculation puts the total energy at -5.657 eV per atom. Its space-group type is P-3m1. As for the raw formation energy: -2158 meV/atom. As for the size of the total moment: 0.6 Bohr magnetons per cell. For the density of states at the Fermi level, the calculation gives 0.179 states/eV/atom.